PBE with a Hubbard U LiCoPO4, relaxed; offset from the most stable computed form = 82 meV/atom; magnetic moment = 3.05 μB/f.u.; raw total energy = -275.68 eV for the cell shown; crystal system = trigonal; space group = P31c (159)
1.0
7.575 0.000 0.000
-3.787 6.560 0.000
0.000 0.000 9.704
Li Co P O
6 6 6 24
Direct
0.059 0.593 0.000
0.407 0.466 0.000
0.466 0.407 0.500
0.534 0.941 0.000
0.593 0.059 0.500
0.941 0.534 0.500
0.055 0.280 0.778
0.225 0.945 0.778
0.280 0.055 0.278
0.720 0.775 0.778
0.775 0.720 0.278
0.945 0.225 0.278
0.000 0.000 0.014
0.000 0.000 0.514
0.333 0.667 0.279
0.333 0.667 0.691
0.667 0.333 0.191
0.667 0.333 0.779
0.000 0.000 0.180
0.000 0.000 0.680
0.093 0.871 0.963
0.121 0.504 0.337
0.129 0.222 0.963
0.189 0.744 0.637
0.222 0.129 0.463
0.256 0.446 0.637
0.333 0.667 0.120
0.333 0.667 0.850
0.383 0.879 0.337
0.446 0.256 0.137
0.496 0.617 0.337
0.504 0.121 0.837
0.554 0.811 0.637
0.617 0.496 0.837
0.667 0.333 0.350
0.667 0.333 0.620
0.744 0.189 0.137
0.778 0.907 0.963
0.811 0.554 0.137
0.871 0.093 0.463
0.879 0.383 0.837
0.907 0.778 0.463